1.
First-principles (PBE-GGA) data for Li2InCuPd after structural relaxation, as listed in Alexandria via LeMat-Bulk.

The structure in POSCAR format:
```
Li2InCuPd
1.0
4.544 0.000 0.000
0.000 4.883 0.000
0.000 0.000 4.544
In Pd Cu Li
1 1 1 2
direct
0.500 0.500 0.500
0.000 0.000 0.000
0.000 0.500 0.000
0.500 0.000 0.000
0.000 0.000 0.500
```

## Properties
Calculated volume: 20.16 Å³/atom
Total magnetization: 0.000 μB per atom
Space-group type: P4/mmm
Energy of formation from the pure elements: 0.11 eV/atom

2.
First-principles (PBE-GGA) data for LiPmInCu after structural relaxation, as listed in Alexandria via LeMat-Bulk.

The structure in POSCAR format:
```
LiPmInCu
1.0
4.815 0.000 0.000
2.408 4.170 0.000
2.408 1.390 3.932
Li In Cu Pm
1 1 1 1
direct
0.750 0.750 0.750
0.500 0.500 0.500
0.250 0.250 0.250
0.000 0.000 0.000
```

## Properties
Calculated volume: 19.74 Å³/atom
Total magnetization: 0.000 μB per atom
Space-group type: F-43m
Energy of formation from the pure elements: -0.36 eV/atom